Version A
As2WSeF | GGA+U | optimized geometry

SG ... No. 123
D(E_F) ... 3.85 states/eV/cell

Cell: 4.9211 4.9211 4.8584 Å, 90.00 90.00 90.00°
Closest atoms and distances in Å follow each position.
Positions (direct):
Se 0.0000 0.0000 0.5000  2 W 2.43
F 0.5000 0.5000 0.5000  8 As 3.46, 4 Se 3.48
As 0.5000 0.0000 0.0000  2 W 2.46
As 0.0000 0.5000 0.0000  2 W 2.46
W 0.0000 0.0000 0.0000  2 Se 2.43, 4 As 2.46

---

Version B
As2WSeF | GGA+U | optimized geometry

SG ... No. 123
D(E_F) ... 2.57 states/eV/cell

Cell: 4.2786 4.2786 5.3922 Å, 90.00 90.00 90.00°
Closest atoms and distances in Å follow each position.
Positions (direct):
As 0.5000 0.0000 0.0000  2 F 2.14
F 0.0000 0.0000 0.0000  4 As 2.14
Se 0.0000 0.0000 0.5000  2 F 2.70
As 0.0000 0.5000 0.0000  2 F 2.14
W 0.5000 0.5000 0.5000  4 Se 3.03

---

Of them, the most stable is version A and the least stable is version B.